Below is a PBEsol-optimized structure of Y3OsRh, with properties calculated at the SCAN level.

- Symmetry: Pm-3m

a b c (Å): 5.0734 5.0734 5.0734
angles (deg): 90.00 90.00 90.00
Last column: magnetic moment on the atom in μB.
Fractional positions:
Y1 0.0000 0.5000 0.0000  -0.03
Y2 0.5000 0.0000 0.0000  -0.03
Y3 0.0000 0.0000 0.5000  -0.03
Rh1 0.0000 0.0000 0.0000  0.01
Os1 0.5000 0.5000 0.5000  0.94

Below is a PBEsol-optimized structure of YOsRh, with properties calculated at the SCAN level.

- Energy above the most stable polymorph in this dataset: 589 meV per atom
- Symmetry: P3m1

a b c (Å): 2.8746 2.8746 7.0565
angles (deg): 90.00 90.00 120.00
Fractional positions:
Y1 0.6667 0.3333 0.3377
Rh1 0.3333 0.6667 0.6854
Os1 0.0000 0.0000 0.9769

Below is a PBEsol-optimized structure of YOs2Rh, with properties calculated at the SCAN level.

- Energy above the most stable polymorph in this dataset: 52 meV per atom
- Symmetry: P2/m

a b c (Å): 2.8609 4.8115 4.7738
angles (deg): 90.00 90.00 97.93
Fractional positions:
Y1 0.5000 0.0000 0.5000
Os1 0.8160 0.7331 0.0000
Os2 0.1840 0.2669 0.0000
Rh1 0.0000 0.5000 0.5000

Below is a PBEsol-optimized structure of YOsRh, with properties calculated at the SCAN level.

- Energy above the most stable polymorph in this dataset: 0 meV per atom
- Symmetry: P-6m2

a b c (Å): 3.1093 4.4437 4.4437
angles (deg): 120.00 90.00 90.00
Fractional positions:
Y1 0.5000 0.6667 0.3333
Rh1 0.0000 0.3333 0.6667
Os1 0.0000 0.0000 0.0000

Below is a PBEsol-optimized structure of Y2OsRh, with properties calculated at the SCAN level.

- Symmetry: Cm

a b c (Å): 3.1356 4.6195 6.1725
angles (deg): 111.91 104.71 90.00
Fractional positions:
Os1 0.5243 0.5239 0.0486
Y1 0.7761 0.2764 0.5522
Y2 0.9864 0.9860 0.9727
Rh1 0.2132 0.7137 0.4265

Below is a PBEsol-optimized structure of Y2OsRh, with properties calculated at the SCAN level.

- Symmetry: I-4m2

a b c (Å): 3.9854 3.9854 5.6124
angles (deg): 110.80 110.80 90.00
Fractional positions:
Y1 0.0000 0.0000 0.0000
Y2 0.7500 0.2500 0.5000
Os1 0.5000 0.5000 0.0000
Rh1 0.2500 0.7500 0.5000

Below is a PBEsol-optimized structure of ZnOsRh2, with properties calculated at the SCAN level.

- Symmetry: Pmmm

a b c (Å): 2.7072 3.7356 5.3288
angles (deg): 90.00 90.00 90.00
Fractional positions:
Zn1 0.5000 0.5000 0.0000
Rh1 0.0000 0.0000 0.2527
Rh2 0.0000 0.0000 0.7473
Os1 0.5000 0.5000 0.5000

Below is a PBEsol-optimized structure of ZnOsRh2, with properties calculated at the SCAN level.

- Symmetry: Cmmm

a b c (Å): 2.6849 4.6088 4.6088
angles (deg): 108.62 90.00 90.00
Fractional positions:
Zn1 0.5000 0.0000 0.0000
Rh1 0.0000 0.0000 0.5000
Rh2 0.0000 0.5000 0.0000
Os1 0.5000 0.5000 0.5000

Per-record DFT formation energy, kJ/mol of atoms: 29.89, 46.15, 19.41, -10.65, -32.64, -22.39, -5.95, -2.40